# TbNd2Hg, optimized geometry, DFT PBE
data_TbNd2Hg
_cell_length_a 5.237
_cell_length_b 5.237
_cell_length_c 8.986
_cell_angle_alpha 90.00
_cell_angle_beta 90.00
_cell_angle_gamma 90.00
_symmetry_space_group_name_H-M 'P 4/n m m'
_symmetry_Int_Tables_number 129
loop_
_symmetry_equiv_pos_as_xyz
'x,y,z'
'-x,-y,-z'
'-y+1/2,x,z'
'y+1/2,-x,-z'
'-x+1/2,-y+1/2,z'
'x+1/2,y+1/2,-z'
'y,-x+1/2,z'
'-y,x+1/2,-z'
'x+1/2,-y,-z'
'-x+1/2,y,z'
'-y,-x,-z'
'y,x,z'
'-x,y+1/2,-z'
'x,-y+1/2,z'
'y+1/2,x+1/2,-z'
'-y+1/2,-x+1/2,z'
loop_
_atom_site_label
_atom_site_fract_x
_atom_site_fract_y
_atom_site_fract_z
_atom_site_occupancy
Tb1 0.250 0.250 0.216 1
Nd1 0.250 0.250 0.779 1
Nd2 0.250 0.750 0.500 1
Hg1 0.250 0.750 0.000 1
# offset from the most stable computed form: 0 meV/atom
# ΔE_f: -229 meV per atom



# Ce6Mg23Sn, optimized geometry, DFT PBE
data_Ce6Mg23Sn
_cell_length_a 14.513
_cell_length_b 14.513
_cell_length_c 14.513
_cell_angle_alpha 90.00
_cell_angle_beta 90.00
_cell_angle_gamma 90.00
_symmetry_space_group_name_H-M 'F m -3 m'
_symmetry_Int_Tables_number 225
_symmetry_space_group_name_Hall '-F 4 2 3'
loop_
_atom_site_label
_atom_site_fract_x
_atom_site_fract_y
_atom_site_fract_z
_atom_site_occupancy
Ce1 0.000 0.000 0.218 1
Mg1 0.000 0.000 0.500 1
Mg2 0.000 0.250 0.250 1
Mg3 0.123 0.123 0.377 1
Mg4 0.167 0.167 0.167 1
Sn1 0.000 0.000 0.000 1
# ΔE_f: -57 meV per atom



# ZrSbP, optimized geometry, DFT PBE
data_ZrSbP
_cell_length_a 6.676
_cell_length_b 6.676
_cell_length_c 6.676
_cell_angle_alpha 90.00
_cell_angle_beta 90.00
_cell_angle_gamma 90.00
_symmetry_space_group_name_H-M 'F -4 3 m'
_symmetry_Int_Tables_number 216
_symmetry_space_group_name_Hall 'F -4 2 3'
loop_
_atom_site_label
_atom_site_fract_x
_atom_site_fract_y
_atom_site_fract_z
_atom_site_occupancy
Zr1 0.000 0.000 0.000 1
Sb1 0.250 0.250 0.750 1
P1 0.250 0.250 0.250 1
# offset from the most stable computed form: 624 meV/atom
# formation energy from raw total energies: -0.09 eV per atom



# HgMoIr, optimized geometry, DFT PBE
data_HgMoIr
_cell_length_a 2.888
_cell_length_b 2.888
_cell_length_c 12.251
_cell_angle_alpha 90.00
_cell_angle_beta 90.00
_cell_angle_gamma 90.00
_symmetry_space_group_name_H-M 'I 4 m m'
_symmetry_Int_Tables_number 107
_symmetry_space_group_name_Hall 'I 4 -2'
loop_
_atom_site_label
_atom_site_fract_x
_atom_site_fract_y
_atom_site_fract_z
_atom_site_occupancy
Hg1 0.000 0.000 0.000 1
Mo1 0.000 0.000 0.318 1
Ir1 0.000 0.000 0.682 1
# offset from the most stable computed form: 0 meV/atom
# ΔE_f: 147 meV per atom



# ZrTaCr2, optimized geometry, DFT PBE
data_ZrTaCr2
_cell_length_a 5.771
_cell_length_b 8.349
_cell_length_c 2.832
_cell_angle_alpha 90.00
_cell_angle_beta 110.91
_cell_angle_gamma 90.00
_symmetry_space_group_name_H-M 'C 1 2/m 1'
_symmetry_Int_Tables_number 12
loop_
_symmetry_equiv_pos_as_xyz
'x,y,z'
'-x,-y,-z'
'-x,y,-z'
'x,-y,z'
'x+1/2,y+1/2,z'
'-x+1/2,-y+1/2,-z'
'-x+1/2,y+1/2,-z'
'x+1/2,-y+1/2,z'
loop_
_atom_site_label
_atom_site_fract_x
_atom_site_fract_y
_atom_site_fract_z
_atom_site_occupancy
Zr1 0.000 0.000 0.000 1
Ta1 0.000 0.500 0.000 1
Cr1 0.250 0.250 0.500 1
# offset from the most stable computed form: 178 meV/atom
# ΔE_f: 319 meV per atom



# Cs2KH6Os, optimized geometry, DFT PBE
data_Cs2KH6Os
_cell_length_a 6.3769
_cell_length_b 6.3769
_cell_length_c 6.5423
_cell_angle_alpha 90.00
_cell_angle_beta 90.00
_cell_angle_gamma 120.00
_symmetry_space_group_name_H-M 'P -3 m 1'
_symmetry_Int_Tables_number 164
_symmetry_space_group_name_Hall '-P 3 2"'
loop_
_atom_site_label
_atom_site_fract_x
_atom_site_fract_y
_atom_site_fract_z
_atom_site_occupancy
Cs1 0.3333 0.6667 0.1518 1
K1 0.0000 0.0000 0.5000 1
H1 0.1287 0.2575 0.8454 1
Os1 0.0000 0.0000 0.0000 1
# electronic total energy: -3.540 eV per atom



Repeat the first record exactly.
# TbNd2Hg, optimized geometry, DFT PBE
data_TbNd2Hg
_cell_length_a 5.237
_cell_length_b 5.237
_cell_length_c 8.986
_cell_angle_alpha 90.00
_cell_angle_beta 90.00
_cell_angle_gamma 90.00
_symmetry_space_group_name_H-M 'P 4/n m m'
_symmetry_Int_Tables_number 129
loop_
_symmetry_equiv_pos_as_xyz
'x,y,z'
'-x,-y,-z'
'-y+1/2,x,z'
'y+1/2,-x,-z'
'-x+1/2,-y+1/2,z'
'x+1/2,y+1/2,-z'
'y,-x+1/2,z'
'-y,x+1/2,-z'
'x+1/2,-y,-z'
'-x+1/2,y,z'
'-y,-x,-z'
'y,x,z'
'-x,y+1/2,-z'
'x,-y+1/2,z'
'y+1/2,x+1/2,-z'
'-y+1/2,-x+1/2,z'
loop_
_atom_site_label
_atom_site_fract_x
_atom_site_fract_y
_atom_site_fract_z
_atom_site_occupancy
Tb1 0.250 0.250 0.216 1
Nd1 0.250 0.250 0.779 1
Nd2 0.250 0.750 0.500 1
Hg1 0.250 0.750 0.000 1
# offset from the most stable computed form: 0 meV/atom
# ΔE_f: -229 meV per atom